[1]
Entry from Alexandria via LeMat-Bulk: a crystal of Ca3Ir relaxed with PBEsol (meta-GGA SCAN).

Results
The formation energy is 0.10 eV/f.u. As for the total energy: -24.998 eV/atom. Its space group is Pm-3m, No. 221.

Lattice parameters (Å, degrees): 4.6148 4.6148 4.6148 90.00 90.00 90.00
Sites, in units of the cell vectors:
Ca 0.0000 0.0000 0.5000
Ca 0.0000 0.5000 0.0000
Ca 0.5000 0.0000 0.0000
Ir 0.5000 0.5000 0.5000


[2]
Entry from Alexandria via LeMat-Bulk: a crystal of Ca2Ir3 relaxed with PBEsol (meta-GGA SCAN).

Results
The formation energy is -1.07 eV/f.u. As for the total energy: -46.738 eV/atom. Its space group is R-3m, No. 166.

Lattice parameters (Å, degrees): 4.5065 4.5065 16.5889 90.00 90.00 120.00
Sites, in units of the cell vectors:
Ca 0.0000 0.0000 0.1005
Ca 0.0000 0.0000 0.8995
Ca 0.3333 0.6667 0.5662
Ca 0.3333 0.6667 0.7671
Ca 0.6667 0.3333 0.2329
Ca 0.6667 0.3333 0.4338
Ir 0.0000 0.0000 0.3460
Ir 0.0000 0.0000 0.5000
Ir 0.0000 0.0000 0.6540
Ir 0.3333 0.6667 0.0127
Ir 0.3333 0.6667 0.1667
Ir 0.3333 0.6667 0.3206
Ir 0.6667 0.3333 0.6794
Ir 0.6667 0.3333 0.8333
Ir 0.6667 0.3333 0.9873


[3]
Entry from Alexandria via LeMat-Bulk: a crystal of CaIr3 relaxed with PBEsol (meta-GGA SCAN).

Results
The formation energy is 0.48 eV/f.u. As for the total energy: -55.621 eV/atom. Its space group is I4/mmm, No. 139.

Lattice parameters (Å, degrees): 3.9668 3.9668 7.9713 90.00 90.00 90.00
Sites, in units of the cell vectors:
Ca 0.0000 0.0000 0.0000
Ca 0.5000 0.5000 0.5000
Ir 0.0000 0.0000 0.5000
Ir 0.0000 0.5000 0.2500
Ir 0.0000 0.5000 0.7500
Ir 0.5000 0.0000 0.2500
Ir 0.5000 0.0000 0.7500
Ir 0.5000 0.5000 0.0000


[4]
Entry from Alexandria via LeMat-Bulk: a crystal of K2CaIr relaxed with PBEsol (meta-GGA SCAN).

Results
The formation energy is 1.91 eV/f.u. As for the total energy: -23.877 eV/atom. Its space group is F-43m, No. 216. The relative energy among the computed polymorphs comes out at 0.000 eV/atom.

Lattice parameters (Å, degrees): 7.5046 7.5046 7.5046 90.00 90.00 90.00
Sites, in units of the cell vectors:
K 0.0000 0.0000 0.0000
K 0.0000 0.5000 0.5000
K 0.2500 0.2500 0.2500
K 0.2500 0.7500 0.7500
K 0.5000 0.0000 0.5000
K 0.5000 0.5000 0.0000
K 0.7500 0.2500 0.7500
K 0.7500 0.7500 0.2500
Ca 0.0000 0.0000 0.5000
Ca 0.0000 0.5000 0.0000
Ca 0.5000 0.0000 0.0000
Ca 0.5000 0.5000 0.5000
Ir 0.2500 0.2500 0.7500
Ir 0.2500 0.7500 0.2500
Ir 0.7500 0.2500 0.2500
Ir 0.7500 0.7500 0.7500


| no. | magnetic moment (μB per cell) | Fermi-level density of states (states/eV/f.u.) |
| --- | --- | --- |
| 1 | 0.0 | 3.84 |
| 2 | 0.0 | 5.61 |
| 3 | 0.0 | 2.44 |
| 4 | 0.0 | 3.24 |